GaFe2CoN | the Alexandria database | PBE | relaxed; D(E_F) = 3.74 states/eV per cell; polymorph energy (0 for the lowest one) = 4.375 eV per formula unit; space group = P4/mmm (123); magnetization = 1.280 μB per atom; formation energy (no corrections) = 16.5 kcal/mol of atoms
1.0
-4.313 1.908 -0.329
-1.207 -2.367 2.097
0.952 2.789 3.696
Fe N Ga Co
2 1 1 1
direct
0.500 0.000 0.000
0.000 0.000 0.500
0.000 0.500 0.000
0.500 0.500 0.500
0.000 0.000 0.000